Here is ZrOsW at its PBEsol-relaxed geometry from Alexandria via LeMat-Bulk. Energies are from SCAN.

a = 4.361 Å, b = 4.361 Å, c = 4.361 Å
α = 60.00°, β = 60.00°, γ = 60.00°
Fractional coordinates of all 3 atoms:
Os  0.250  0.250  0.250
W  0.000  0.000  0.000
Zr  0.500  0.500  0.500

Values from the calculation:
Magnetic moment (μB/f.u.): 0.0
Excess energy over the best structure of this formula in the dataset (meV per atom): 256.3
Uncorrected energy (eV for the cell shown): -171.7
ΔE_f (eV/atom): 0.18

***

Here is Cs2LiScCl6 at its PBEsol-relaxed geometry from Alexandria via LeMat-Bulk. Energies are from SCAN.

a = 7.178 Å, b = 7.178 Å, c = 7.178 Å
α = 60.00°, β = 60.00°, γ = 60.00°
Fractional coordinates of all 10 atoms:
Cs  0.250  0.250  0.250
Cs  0.750  0.750  0.750
Sc  0.500  0.500  0.500
Li  0.000  0.000  0.000
Cl  0.744  0.256  0.256
Cl  0.256  0.256  0.744
Cl  0.256  0.744  0.256
Cl  0.256  0.744  0.744
Cl  0.744  0.744  0.256
Cl  0.744  0.256  0.744

Values from the calculation:
Magnetic moment (μB/f.u.): 0.0
Uncorrected energy (eV for the cell shown): -163.4
Formation energy from raw total energies (eV/atom): -2.32

***

Here is Sr3MgBi at its PBEsol-relaxed geometry from Alexandria via LeMat-Bulk. Energies are from SCAN.

a = 6.314 Å, b = 6.314 Å, c = 6.314 Å
α = 90.00°, β = 90.00°, γ = 90.00°
Fractional coordinates of all 5 atoms:
Sr  0.000  0.500  0.000
Sr  0.000  0.000  0.500
Sr  0.500  0.000  0.000
Mg  0.500  0.500  0.500
Bi  0.000  0.000  0.000

Values from the calculation:
Magnetic moment (μB/f.u.): 0.4
Uncorrected energy (eV for the cell shown): -151.4
ΔE_f (eV/atom): -0.21

***

Here is SnSeIO2 at its PBEsol-relaxed geometry from Alexandria via LeMat-Bulk. Energies are from SCAN.

a = 4.181 Å, b = 4.181 Å, c = 5.547 Å
α = 90.00°, β = 90.00°, γ = 90.00°
Fractional coordinates of all 5 atoms:
I  0.000  0.000  0.500
O  0.000  0.500  0.000
O  0.500  0.000  0.000
Sn  0.500  0.500  0.500
Se  0.000  0.000  0.000

Values from the calculation:
Magnetic moment (μB/f.u.): 0.0
Uncorrected energy (eV for the cell shown): -104.2
Formation energy from raw total energies (eV/atom): 0.21

***

Here is BeCdCl2 at its PBEsol-relaxed geometry from Alexandria via LeMat-Bulk. Energies are from SCAN.

a = 3.172 Å, b = 3.172 Å, c = 9.452 Å
α = 80.34°, β = 80.34°, γ = 60.00°
Fractional coordinates of all 4 atoms:
Be  0.500  0.500  0.500
Cl  0.212  0.212  0.364
Cl  0.788  0.788  0.636
Cd  0.000  0.000  0.000

Values from the calculation:
Magnetic moment (μB/f.u.): 0.0
Excess energy over the best structure of this formula in the dataset (meV per atom): 0.0
Uncorrected energy (eV for the cell shown): -54.2
Formation energy from raw total energies (eV/atom): -0.86

***

Here is KTeSeI2 at its PBEsol-relaxed geometry from Alexandria via LeMat-Bulk. Energies are from SCAN.

a = 5.609 Å, b = 5.697 Å, c = 5.697 Å
α = 90.00°, β = 90.00°, γ = 90.00°
Fractional coordinates of all 5 atoms:
I  0.000  0.000  0.500
I  0.000  0.500  0.000
K  0.500  0.500  0.500
Te  0.500  0.000  0.000
Se  0.000  0.000  0.000

Values from the calculation:
Magnetic moment (μB/f.u.): 0.0
Uncorrected energy (eV for the cell shown): -141.1
Formation energy from raw total energies (eV/atom): -0.38

***

Here is Ru2BrCl at its PBEsol-relaxed geometry from Alexandria via LeMat-Bulk. Energies are from SCAN.

a = 2.866 Å, b = 5.112 Å, c = 5.112 Å
α = 62.99°, β = 73.72°, γ = 73.72°
Fractional coordinates of all 4 atoms:
Ru  0.257  0.743  0.743
Ru  0.743  0.257  0.257
Br  0.500  0.000  0.000
Cl  0.000  0.500  0.500

Values from the calculation:
Magnetic moment (μB/f.u.): 0.0
Excess energy over the best structure of this formula in the dataset (meV per atom): 0.0
Uncorrected energy (eV for the cell shown): -93.3
Formation energy from raw total energies (eV/atom): 0.96

***

Here is SrF3 at its PBEsol-relaxed geometry from Alexandria via LeMat-Bulk. Energies are from SCAN.

a = 4.054 Å, b = 4.362 Å, c = 6.443 Å
α = 98.83°, β = 90.00°, γ = 90.00°
Site moments in Bohr magnetons follow the coordinates.
Fractional coordinates of all 8 atoms:
Sr  0.750  0.788  0.708  0.00
Sr  0.250  0.212  0.292  0.00
F  0.750  0.247  0.528  0.03
F  0.250  0.753  0.472  0.03
F  0.750  0.903  0.110  0.45
F  0.250  0.097  0.890  0.45
F  0.750  0.482  0.168  0.51
F  0.250  0.518  0.832  0.51

Values from the calculation:
Magnetic moment (μB/f.u.): 1.0
Uncorrected energy (eV for the cell shown): -90.6
Formation energy from raw total energies (eV/atom): -3.10

***

uncorrected energy of number 7 (Ru2BrCl)? -93.3 eV for the cell shown